[1]
The following is a DFT calculation (PBE-GGA) of crystalline BaNaV at its relaxed geometry.

Cell: 12.4488 5.5016 8.6267 Å, 90.00 133.47 90.00°
Positions (direct):
Ba1 0.0609 0.0000 0.3124
Ba2 0.4391 0.5000 0.6876
Ba3 0.5609 0.5000 0.3124
Ba4 0.9391 0.0000 0.6876
Na1 0.1798 0.5000 0.0809
Na2 0.3202 0.0000 0.9191
Na3 0.6798 0.0000 0.0809
Na4 0.8202 0.5000 0.9191
V1 0.0995 0.5000 0.6159
V2 0.4005 0.0000 0.3841
V3 0.5995 0.0000 0.6159
V4 0.9005 0.5000 0.3841

Formation energy from the elements: 0.59 eV/atom
Symmetry: C2/m
E: -42.35 eV/cell
Excess energy over the best structure of this formula in the dataset: 10.16 kJ/mol of atoms
ρ: 3273 kg/m³

[2]
The following is a DFT calculation (PBE-GGA) of crystalline AlCr at its relaxed geometry.

Cell: 4.7700 4.7700 4.7700 Å, 90.00 90.00 90.00°
Positions (direct):
Al1 0.0990 0.4010 0.5990
Al2 0.4010 0.5990 0.0990
Al3 0.5990 0.0990 0.4010
Al4 0.9010 0.9010 0.9010
Cr1 0.1084 0.8916 0.3916
Cr2 0.3916 0.1084 0.8916
Cr3 0.6084 0.6084 0.6084
Cr4 0.8916 0.3916 0.1084

Formation energy from the elements: 0.15 eV/atom
Symmetry: P2_13
E: -52.29 eV/cell
ρ: 4833 kg/m³

[3]
The following is a DFT calculation (PBE-GGA) of crystalline Li2In at its relaxed geometry.

Cell: 5.4302 5.4302 5.4302 Å, 60.00 60.00 60.00°
Positions (direct):
Li1 0.0000 0.0000 0.0000
Li2 0.0000 0.0000 0.5000
Li3 0.0000 0.5000 0.0000
Li4 0.5000 0.0000 0.0000
In1 0.3750 0.3750 0.3750
In2 0.6250 0.6250 0.6250

Formation energy from the elements: -0.12 eV/atom
Symmetry: Fd-3m
E: -13.87 eV/cell
ρ: 3775 kg/m³

[4]
The following is a DFT calculation (PBE-GGA) of crystalline Tm5Hg2Ir2 at its relaxed geometry.

Cell: 8.6553 8.6553 7.5331 Å, 90.00 90.00 50.78°
Positions (direct):
Tm1 0.0000 0.0000 0.0000
Tm2 0.0488 0.7082 0.6696
Tm3 0.2082 0.5488 0.1696
Tm4 0.2918 0.9512 0.6696
Tm5 0.4512 0.7918 0.1696
Tm6 0.5000 0.5000 0.5000
Tm7 0.5488 0.2082 0.8304
Tm8 0.7082 0.0488 0.3304
Tm9 0.7918 0.4512 0.8304
Tm10 0.9512 0.2918 0.3304
Hg1 0.2139 0.2139 0.0000
Hg2 0.2861 0.2861 0.5000
Hg3 0.7139 0.7139 0.5000
Hg4 0.7861 0.7861 0.0000
Ir1 0.1319 0.8681 0.3655
Ir2 0.3681 0.6319 0.8655
Ir3 0.6319 0.3681 0.1345
Ir4 0.8681 0.1319 0.6345

Formation energy from the elements: -0.71 eV/atom
Symmetry: Cmce
E: -94.10 eV/cell
ρ: 12384 kg/m³

[5]
The following is a DFT calculation (PBE-GGA) of crystalline KMoPb2 at its relaxed geometry.

Cell: 3.1028 6.6926 11.7055 Å, 90.00 90.00 90.00°
Positions (direct):
K1 0.0000 0.0000 0.0000
K2 0.5000 0.5000 0.5000
Mo1 0.0000 0.0000 0.5000
Mo2 0.5000 0.5000 0.0000
Pb1 0.0000 0.5000 0.2078
Pb2 0.0000 0.5000 0.7922
Pb3 0.5000 0.0000 0.2922
Pb4 0.5000 0.0000 0.7078

Formation energy from the elements: 0.67 eV/atom
Symmetry: Immm
E: -33.34 eV/cell
Excess energy over the best structure of this formula in the dataset: 30.10 kJ/mol of atoms
ρ: 7507 kg/m³

[6]
The following is a DFT calculation (PBE-GGA) of crystalline Sr2TcOs at its relaxed geometry.

Cell: 4.1219 5.4442 9.3835 Å, 90.00 90.00 90.00°
Positions (direct):
Sr1 0.0000 0.0000 0.0000
Sr2 0.0000 0.5000 0.2004
Sr3 0.5000 0.0000 0.7004
Sr4 0.5000 0.5000 0.5000
Tc1 0.0000 0.5000 0.7924
Tc2 0.5000 0.0000 0.2924
Os1 0.0000 0.0000 0.4153
Os2 0.5000 0.5000 0.9153

Formation energy from the elements: 0.50 eV/atom
Symmetry: Imm2
E: -45.94 eV/cell
Excess energy over the best structure of this formula in the dataset: 0.10 kJ/mol of atoms
ρ: 7310 kg/m³

[7]
The following is a DFT calculation (PBE-GGA) of crystalline La2PrIn at its relaxed geometry.

Cell: 8.0753 8.0753 8.0753 Å, 90.00 90.00 90.00°
Positions (direct):
La1 0.2500 0.2500 0.2500
La2 0.2500 0.2500 0.7500
La3 0.2500 0.7500 0.2500
La4 0.2500 0.7500 0.7500
La5 0.7500 0.2500 0.2500
La6 0.7500 0.2500 0.7500
La7 0.7500 0.7500 0.2500
La8 0.7500 0.7500 0.7500
Pr1 0.0000 0.0000 0.0000
Pr2 0.0000 0.5000 0.5000
Pr3 0.5000 0.0000 0.5000
Pr4 0.5000 0.5000 0.0000
In1 0.0000 0.0000 0.5000
In2 0.0000 0.5000 0.0000
In3 0.5000 0.0000 0.0000
In4 0.5000 0.5000 0.5000

Formation energy from the elements: -0.15 eV/atom
Symmetry: Fm-3m
E: -71.92 eV/cell
Excess energy over the best structure of this formula in the dataset: 13.71 kJ/mol of atoms
ρ: 6730 kg/m³

[8]
The following is a DFT calculation (PBE-GGA) of crystalline Tm6SiTc2 at its relaxed geometry.

Cell: 8.2771 8.2771 8.2771 Å, 112.38 111.54 104.59°
Positions (direct):
Tm1 0.0249 0.8358 0.1890
Tm2 0.2511 0.5537 0.3026
Tm3 0.2511 0.9484 0.6974
Tm4 0.2706 0.3203 0.5909
Tm5 0.2706 0.6797 0.9503
Tm6 0.3532 0.1642 0.1890
Tm7 0.6468 0.8358 0.8109
Tm8 0.7294 0.3203 0.0497
Tm9 0.7294 0.6797 0.4091
Tm10 0.7489 0.0516 0.3026
Tm11 0.7489 0.4463 0.6974
Tm12 0.9751 0.1642 0.8109
Si1 0.0000 0.5000 0.5000
Si2 0.5000 0.0000 0.5000
Tc1 0.0000 0.1806 0.1806
Tc2 0.0000 0.8194 0.8194
Tc3 0.3818 0.3818 0.0000
Tc4 0.6182 0.6182 0.0000

Symmetry: Immm
E: -110.32 eV/cell
ρ: 9468 kg/m³

[9]
The following is a DFT calculation (PBE-GGA) of crystalline Sm5P4Se at its relaxed geometry.

Cell: 10.9292 10.9292 10.9292 Å, 158.29 149.08 38.09°
Positions (direct):
Sm1 0.0000 0.0000 0.0000
Sm2 0.1994 0.1994 0.0000
Sm3 0.3930 0.3930 0.0000
Sm4 0.6070 0.6070 0.0000
Sm5 0.8006 0.8006 0.0000
P1 0.0991 0.5991 0.5000
P2 0.2991 0.7991 0.5000
P3 0.7009 0.2009 0.5000
P4 0.9009 0.4009 0.5000
Se1 0.5000 0.0000 0.5000

Symmetry: Immm
E: -65.48 eV/cell
ρ: 6400 kg/m³

[10]
The following is a DFT calculation (PBE-GGA) of crystalline LiMg at its relaxed geometry.

Cell: 10.7379 10.7379 3.0504 Å, 90.00 90.00 90.00°
Positions (direct):
Li1 0.0883 0.6343 0.0000
Li2 0.1343 0.4117 0.5000
Li3 0.3657 0.0883 0.0000
Li4 0.4117 0.8657 0.5000
Li5 0.5883 0.1343 0.5000
Li6 0.6343 0.9117 0.0000
Li7 0.8657 0.5883 0.5000
Li8 0.9117 0.3657 0.0000
Mg1 0.1143 0.1682 0.0000
Mg2 0.1682 0.8857 0.0000
Mg3 0.3318 0.6143 0.5000
Mg4 0.3857 0.3318 0.5000
Mg5 0.6143 0.6682 0.5000
Mg6 0.6682 0.3857 0.5000
Mg7 0.8318 0.1143 0.0000
Mg8 0.8857 0.8318 0.0000

Formation energy from the elements: 0.10 eV/atom
Symmetry: I4/m
E: -26.44 eV/cell
ρ: 1180 kg/m³

[11]
The following is a DFT calculation (PBE-GGA) of crystalline Y2SiHg at its relaxed geometry.

Cell: 3.6134 3.6134 7.7930 Å, 90.00 90.00 90.00°
Positions (direct):
Y1 0.0000 0.0000 0.0000
Y2 0.5000 0.5000 0.3438
Si1 0.5000 0.5000 0.7736
Hg1 0.0000 0.0000 0.5773

Symmetry: P4mm
E: -19.11 eV/cell
ρ: 6634 kg/m³

[12]
The following is a DFT calculation (PBE-GGA) of crystalline CsSnP2O at its relaxed geometry.

Cell: 5.5156 5.5156 4.3081 Å, 90.00 90.00 90.00°
Positions (direct):
Cs1 0.0000 0.0000 0.0000
Sn1 0.5000 0.5000 0.5000
P1 0.0000 0.5000 0.0000
P2 0.5000 0.0000 0.0000
O1 0.0000 0.0000 0.5000

Symmetry: P4/mmm
E: -14.25 eV/cell
ρ: 4175 kg/m³

| no. | density of states at the Fermi level (states/eV per atom) |
| --- | --- |
| 1 | 1.296 |
| 2 | 0.922 |
| 3 | 0.501 |
| 4 | 0.534 |
| 5 | 0.516 |
| 6 | 1.099 |
| 7 | 1.759 |
| 8 | 0.919 |
| 9 | 0.263 |
| 10 | 0.364 |
| 11 | 0.979 |
| 12 | 0.913 |